First-principles (GGA-PBE) data for crystalline Ac2IrRuO6 at its relaxed geometry, as listed in Alexandria via LeMat-Bulk.

The structure in POSCAR format:
```
Ac2IrRuO6
1.0
2.851 1.646 9.692
-2.851 1.646 9.692
0.000 -3.292 9.692
Ac Ir Ru O
4 2 2 12
direct
0.124 0.124 0.124 Ac
0.280 0.280 0.280 Ac
0.720 0.720 0.720 Ac
0.876 0.876 0.876 Ac
0.000 0.000 0.000 Ir
0.500 0.500 0.500 Ir
0.414 0.414 0.414 Ru
0.586 0.586 0.586 Ru
0.118 0.630 0.630 O
0.199 0.199 0.749 O
0.199 0.749 0.199 O
0.251 0.801 0.801 O
0.370 0.370 0.882 O
0.370 0.882 0.370 O
0.630 0.118 0.630 O
0.630 0.630 0.118 O
0.749 0.199 0.199 O
0.801 0.251 0.801 O
0.801 0.801 0.251 O
0.882 0.370 0.370 O
```

Calculated values
space-group type: No. 166
electronic total energy: -7.5046 eV/atom
formation energy from raw total energies: -1.89 eV/atom

=====

First-principles (GGA-PBE) data for crystalline AcIrRuO6 at its relaxed geometry, as listed in Alexandria via LeMat-Bulk.

The structure in POSCAR format:
```
AcIrRuO6
1.0
5.565 0.000 0.000
-2.783 4.819 0.000
0.000 0.000 8.549
Ac Ir Ru O
2 2 2 12
direct
0.333 0.667 0.250 Ac
0.667 0.333 0.750 Ac
0.333 0.667 0.750 Ir
0.667 0.333 0.250 Ir
0.000 0.000 0.000 Ru
0.000 0.000 0.500 Ru
0.063 0.349 0.613 O
0.063 0.714 0.887 O
0.286 0.349 0.887 O
0.286 0.937 0.613 O
0.349 0.063 0.113 O
0.349 0.286 0.387 O
0.651 0.714 0.613 O
0.651 0.937 0.887 O
0.714 0.063 0.387 O
0.714 0.651 0.113 O
0.937 0.286 0.113 O
0.937 0.651 0.387 O
```

Calculated values
space-group type: No. 163
electronic total energy: -7.0779 eV/atom
formation energy from raw total energies: -1.30 eV/atom

=====

First-principles (GGA-PBE) data for crystalline Ac8Ir3S4O at its relaxed geometry, as listed in Alexandria via LeMat-Bulk.

The structure in POSCAR format:
```
Ac8Ir3S4O
1.0
7.325 -4.225 0.000
7.325 4.225 0.000
-4.878 0.000 7.400
Ac Ir S O
8 3 4 1
direct
0.239 0.748 0.726 Ac
0.240 0.240 0.727 Ac
0.252 0.761 0.274 Ac
0.255 0.255 0.266 Ac
0.745 0.745 0.734 Ac
0.748 0.239 0.726 Ac
0.760 0.760 0.273 Ac
0.761 0.252 0.274 Ac
0.000 0.500 0.500 Ir
0.500 0.000 0.500 Ir
0.500 0.500 0.500 Ir
0.000 0.000 0.000 S
0.000 0.500 0.000 S
0.500 0.000 0.000 S
0.500 0.500 0.000 S
0.000 0.000 0.500 O
```

Calculated values
space-group type: No. 12
electronic total energy: -6.5779 eV/atom
formation energy from raw total energies: -1.52 eV/atom

=====

Among the records above, which one has the highest electronic total energy? Ac8Ir3S4O